(1)
Entry from Alexandria: crystalline RuPbW2 at its relaxed geometry (PBE-GGA).

Calculated values
Its electronic total energy is -36.12 eV for the cell shown. For the total magnetization, the calculation gives 0.00 μB per formula unit. For the formation energy, the calculation gives 0.6928 eV per atom. The calculation puts the mass density at 15.68 g/cm³. The crystal system is monoclinic.

Cell: 4.8755 4.8755 5.1104 Å, 77.48 77.48 37.27°
Fractional positions:
Pb 0.5006 0.5006 0.4991
Ru 0.2670 0.2670 0.2051
W 0.0020 0.0020 0.0030
W 0.7303 0.7303 0.7929

***

(2)
Entry from Alexandria: crystalline RuPb2W at its relaxed geometry (PBE-GGA).

Calculated values
Its electronic total energy is -25.63 eV for the cell shown. For the total magnetization, the calculation gives 0.00 μB per formula unit. For the formation energy, the calculation gives 1.0030 eV per atom. The calculation puts the mass density at 14.43 g/cm³. The energy above the lowest structure with this stoichiometry comes out at 0.690 eV/atom. The crystal system is orthorhombic.

Cell: 3.1243 3.1243 9.0092 Å, 90.00 90.00 113.80°
Fractional positions:
Pb 0.0000 0.0000 0.0120
Pb 0.0000 0.0000 0.4880
Ru 0.5000 0.5000 0.2500
W 0.5000 0.5000 0.7500

***

(3)
Entry from Alexandria: crystalline RuPbW2 at its relaxed geometry (PBE-GGA).

Calculated values
Its electronic total energy is -36.47 eV for the cell shown. For the total magnetization, the calculation gives 0.00 μB per formula unit. For the formation energy, the calculation gives 0.6055 eV per atom. The calculation puts the mass density at 16.10 g/cm³. The crystal system is monoclinic.

Cell: 5.1419 5.1419 4.7332 Å, 77.46 77.46 34.89°
Fractional positions:
Pb 0.7500 0.7500 0.7500
Ru 0.2500 0.2500 0.2500
W 0.9893 0.9893 0.0334
W 0.5107 0.5107 0.4666